# AgBi2Br PBEsol optimized geometry
data_AgBi2Br
_symmetry_space_group_name_H-M 'F m -3 m'
_symmetry_Int_Tables_number 225
_symmetry_space_group_name_Hall '-F 4 2 3'
_cell_length_a 7.3550
_cell_length_b 7.3550
_cell_length_c 7.3550
_cell_angle_alpha 90.00
_cell_angle_beta 90.00
_cell_angle_gamma 90.00
loop_
_atom_site_label
_atom_site_type_symbol
_atom_site_fract_x
_atom_site_fract_y
_atom_site_fract_z
Ag1 Ag 0.0000 0.0000 0.0000
Bi1 Bi 0.2500 0.2500 0.2500
Br1 Br 0.0000 0.0000 0.5000
# formation energy without anion corrections = 125 meV per atom
# VASP energy = -53.0 eV/cell
# size of the total moment = 0.000 μB/cell
# Fermi-level density of states = 10.17 states/eV/cell